# NdZn2Pb

A relaxed structure of NdZn2Pb (GGA-PBE, the Alexandria database).

CIF file:
```
data_NdZn2Pb
_chemical_formula_sum 'Nd1 Zn2 Pb1'
_cell_length_a 4.529
_cell_length_b 4.529
_cell_length_c 4.560
_cell_angle_alpha 90.00
_cell_angle_beta 90.00
_cell_angle_gamma 90.00
_space_group_name_H-M_alt 'P 4/m m m'
_space_group_IT_number 123
_space_group_name_Hall '-P 4 2'
loop_
_atom_site_label
_atom_site_fract_x
_atom_site_fract_y
_atom_site_fract_z
_atom_site_occupancy
Nd1 0.000 0.000 0.000 1
Zn1 0.000 0.500 0.500 1
Pb1 0.500 0.500 0.000 1
```

Output
The calculation puts the energy above the most stable polymorph in this dataset at 0 meV per atom. As for the energy of formation: -0.278 eV/atom. The total magnetic moment is 0.00 μB/f.u. For the density of states at the Fermi level, the calculation gives 0.400 states/eV/atom.